(1)
## Pa2NbGa2Ru5 (PBE)

Data for Pa2NbGa2Ru5 after structural relaxation.

Calculated values
- ΔH_f (0 K): -35 kJ/mol of atoms
- Total moment: 0.000 μB/f.u.
- Electronic total energy: -8.52 eV/atom

Structure (CIF):
```
data_Pa2NbGa2Ru5
_symmetry_space_group_name_H-M 'P 4/m b m'
_symmetry_Int_Tables_number 127
_symmetry_space_group_name_Hall '-P 4 2ab'
_cell_length_a 9.986
_cell_length_b 9.986
_cell_length_c 3.467
_cell_angle_alpha 90.00
_cell_angle_beta 90.00
_cell_angle_gamma 90.00
loop_
_atom_site_label
_atom_site_fract_x
_atom_site_fract_y
_atom_site_fract_z
_atom_site_occupancy
Pa1 0.173 0.327 0.000 1
Nb1 0.000 0.000 0.000 1
Ga1 0.124 0.624 0.000 1
Ru1 0.000 0.500 0.500 1
Ru2 0.076 0.798 0.500 1
```

(2)
## CaBiPb (PBE)

Data for CaBiPb after structural relaxation.

Calculated values
- ΔH_f (0 K): -32 kJ/mol of atoms
- E above lowest polymorph: 0.405 eV/f.u.
- Total moment: 0.000 μB/f.u.
- Electronic total energy: -3.52 eV/atom

Structure (CIF):
```
data_CaBiPb
_symmetry_space_group_name_H-M 'P 3 m 1'
_symmetry_Int_Tables_number 156
_symmetry_space_group_name_Hall 'P 3 -2"'
_cell_length_a 5.4438
_cell_length_b 5.4438
_cell_length_c 3.8292
_cell_angle_alpha 90.00
_cell_angle_beta 90.00
_cell_angle_gamma 120.00
loop_
_atom_site_label
_atom_site_fract_x
_atom_site_fract_y
_atom_site_fract_z
_atom_site_occupancy
Ca1 0.0000 0.0000 0.0000 1
Bi1 0.6667 0.3333 0.4258 1
Pb1 0.3333 0.6667 0.5780 1
```

(3)
## Al2IrBr (PBE)

Data for Al2IrBr after structural relaxation.

Calculated values
- E above lowest polymorph: 2.139 eV/f.u.
- Raw formation energy: 0.09 eV per formula unit
- Total moment: 0.000 μB/f.u.
- Electronic total energy: -4.48 eV/atom

Structure (CIF):
```
data_Al2IrBr
_symmetry_space_group_name_H-M 'C 1 2/m 1'
_symmetry_Int_Tables_number 12
_symmetry_space_group_name_Hall '-C 2y'
_cell_length_a 6.986
_cell_length_b 6.818
_cell_length_c 2.930
_cell_angle_alpha 90.00
_cell_angle_beta 99.99
_cell_angle_gamma 90.00
loop_
_atom_site_label
_atom_site_fract_x
_atom_site_fract_y
_atom_site_fract_z
_atom_site_occupancy
Al1 0.250 0.250 0.000 1
Ir1 0.000 0.000 0.500 1
Br1 0.000 0.500 0.500 1
```